# 1
VASP calculation (GGA-PBE) on crystalline Pm5YPb5 at its relaxed geometry.

Structure (POSCAR):
```
Pm5YPb5
1.0
6.383 0.000 0.000
-3.191 8.030 0.576
0.000 -2.339 7.166
Pb Y Pm
5 1 5
Direct
0.500 0.000 0.000
0.166 0.333 0.843
0.165 0.331 0.337
0.835 0.669 0.663
0.834 0.667 0.157
0.000 0.000 0.000
0.667 0.334 0.327
0.662 0.324 0.824
0.333 0.666 0.673
0.338 0.676 0.176
0.000 0.000 0.500
```

Properties
D(E_F) ... 9.15 states/eV/f.u.
Energy relative to the elements ... -0.3286 eV per atom
Calculated total energy ... -52.373 eV per cell
Calculated density ... 8.17 Mg/m³

***

# 2
VASP calculation (GGA-PBE) on crystalline PmYPb at its relaxed geometry.

Structure (POSCAR):
```
PmYPb
1.0
3.606 0.000 0.000
-1.803 5.498 -2.607
0.000 -6.993 13.249
Pm Y Pb
2 2 2
Direct
0.186 0.371 0.822
0.814 0.629 0.178
0.223 0.447 0.585
0.777 0.553 0.415
0.976 0.951 0.875
0.024 0.049 0.125
```

Properties
D(E_F) ... 3.58 states/eV/f.u.
Energy relative to the elements ... -0.2056 eV per atom
Calculated total energy ... -31.079 eV per cell
Calculated density ... 7.44 Mg/m³

***

# 3
VASP calculation (GGA-PBE) on crystalline PmY2Pb3 at its relaxed geometry.

Structure (POSCAR):
```
PmY2Pb3
1.0
-3.159 5.353 -1.767
-0.553 -2.314 -6.021
-5.583 -5.747 4.385
Pb Y Pm
6 4 2
Direct
0.277 0.077 0.335
0.058 0.577 0.335
0.618 0.250 0.000
0.382 0.750 0.000
0.942 0.423 0.665
0.723 0.923 0.665
0.451 0.403 0.666
0.549 0.597 0.334
0.785 0.097 0.334
0.215 0.903 0.666
0.879 0.750 0.000
0.121 0.250 0.000
```

Properties
D(E_F) ... 2.31 states/eV/f.u.
Energy relative to the elements ... -0.4981 eV per atom
Calculated total energy ... -63.585 eV per cell
Calculated density ... 8.92 Mg/m³

***

# 4
VASP calculation (GGA-PBE) on crystalline Pm7YPb4 at its relaxed geometry.

Structure (POSCAR):
```
Pm7YPb4
1.0
-5.669 0.043 1.775
-0.213 -2.429 9.322
-2.006 6.773 3.371
Pm Pb Y
7 4 1
Direct
0.303 0.622 0.772
0.210 0.110 0.471
0.697 0.378 0.228
0.054 0.626 0.265
0.946 0.374 0.735
0.500 0.000 0.000
0.790 0.890 0.529
0.566 0.239 0.629
0.300 0.329 0.071
0.434 0.761 0.371
0.700 0.671 0.929
0.000 0.000 0.000
```

Properties
D(E_F) ... 11.28 states/eV/f.u.
Energy relative to the elements ... -0.1507 eV per atom
Calculated total energy ... -56.360 eV per cell
Calculated density ... 8.18 Mg/m³

***

# 5
VASP calculation (GGA-PBE) on crystalline Pm3YPb2 at its relaxed geometry.

Structure (POSCAR):
```
Pm3YPb2
1.0
4.650 0.000 0.000
0.000 4.650 0.000
0.000 0.000 8.804
Pb Pm Y
2 3 1
Direct
0.500 0.000 0.719
0.000 0.500 0.281
0.000 0.500 0.654
0.000 0.000 0.000
0.500 0.000 0.346
0.500 0.500 0.000
```

Properties
D(E_F) ... 6.39 states/eV/f.u.
Energy relative to the elements ... -0.4457 eV per atom
Calculated total energy ... -30.807 eV per cell
Calculated density ... 8.18 Mg/m³

***

# 6
VASP calculation (GGA-PBE) on crystalline Pm5Y8Pb at its relaxed geometry.

Structure (POSCAR):
```
Pm5Y8Pb
1.0
7.792 0.000 -3.697
-3.406 7.540 -2.436
-0.980 0.000 8.569
Y Pb Pm
8 1 5
Direct
0.583 0.661 0.244
0.038 0.079 0.540
0.040 0.502 0.962
0.461 0.921 0.960
0.756 0.339 0.417
0.460 0.498 0.539
0.583 0.339 0.922
0.078 0.661 0.417
0.250 0.500 0.750
0.281 0.195 0.085
0.914 0.804 0.719
0.890 0.805 0.086
0.500 0.000 0.500
0.915 0.196 0.110
```

Properties
D(E_F) ... 19.00 states/eV/f.u.
Energy relative to the elements ... 0.1084 eV per atom
Calculated total energy ... -77.656 eV per cell
Calculated density ... 5.73 Mg/m³

***

# 7
VASP calculation (GGA-PBE) on crystalline PmY4Pb5 at its relaxed geometry.

Structure (POSCAR):
```
PmY4Pb5
1.0
6.330 0.000 0.000
3.165 7.078 0.000
3.165 0.000 7.078
Pm Y Pb
1 4 5
Direct
0.002 0.000 0.000
0.202 0.197 0.401
0.399 0.401 0.803
0.603 0.599 0.197
0.800 0.803 0.599
0.304 0.796 0.597
0.100 0.597 0.204
0.503 0.000 0.000
0.697 0.204 0.403
0.901 0.403 0.796
```

Properties
D(E_F) ... 8.68 states/eV/f.u.
Energy relative to the elements ... -0.3723 eV per atom
Calculated total energy ... -52.872 eV per cell
Calculated density ... 8.05 Mg/m³

***

# 8
VASP calculation (GGA-PBE) on crystalline PmY3Pb3 at its relaxed geometry.

Structure (POSCAR):
```
PmY3Pb3
1.0
5.613 0.000 0.000
0.000 9.298 0.000
0.000 -4.649 8.052
Pb Y Pm
6 6 2
Direct
0.250 0.076 0.625
0.750 0.625 0.550
0.250 0.375 0.450
0.750 0.450 0.076
0.750 0.924 0.375
0.250 0.550 0.924
0.250 0.994 0.231
0.750 0.231 0.237
0.250 0.237 0.006
0.750 0.006 0.769
0.750 0.763 0.994
0.250 0.769 0.763
0.250 0.667 0.333
0.750 0.333 0.667
```

Properties
D(E_F) ... 7.87 states/eV/f.u.
Energy relative to the elements ... -0.3912 eV per atom
Calculated total energy ... -76.013 eV per cell
Calculated density ... 8.17 Mg/m³

***

# 9
VASP calculation (GGA-PBE) on crystalline Pm3YPb2 at its relaxed geometry.

Structure (POSCAR):
```
Pm3YPb2
1.0
4.993 0.000 -0.001
0.000 8.995 0.000
-2.499 -4.497 8.157
Pm Y Pb
6 2 4
Direct
0.500 0.250 0.000
0.500 0.750 0.000
0.177 0.927 0.353
0.823 0.573 0.647
0.177 0.427 0.353
0.823 0.073 0.647
0.000 0.500 0.000
0.000 0.000 0.000
0.350 0.851 0.701
0.350 0.351 0.701
0.650 0.149 0.299
0.650 0.649 0.299
```

Properties
D(E_F) ... 6.87 states/eV/f.u.
Energy relative to the elements ... -0.4004 eV per atom
Calculated total energy ... -61.070 eV per cell
Calculated density ... 8.51 Mg/m³

***

# 10
VASP calculation (GGA-PBE) on crystalline Pm2YPb3 at its relaxed geometry.

Structure (POSCAR):
```
Pm2YPb3
1.0
6.407 0.000 0.000
0.000 7.459 0.006
-3.204 -1.861 7.977
Pb Y Pm
6 2 4
Direct
0.832 0.918 0.672
0.508 0.250 0.000
0.161 0.582 0.328
0.492 0.750 0.000
0.168 0.082 0.328
0.839 0.418 0.672
0.008 0.250 0.000
0.992 0.750 0.000
0.664 0.584 0.335
0.671 0.084 0.335
0.329 0.916 0.665
0.336 0.416 0.665
```

Properties
D(E_F) ... 3.77 states/eV/f.u.
Energy relative to the elements ... -0.4365 eV per atom
Calculated total energy ... -59.419 eV per cell
Calculated density ... 8.71 Mg/m³

***

# 11
VASP calculation (GGA-PBE) on crystalline Pm2YPb at its relaxed geometry.

Structure (POSCAR):
```
Pm2YPb
1.0
-1.339 1.686 -2.877
-3.086 -1.118 -1.463
-7.718 7.785 5.912
Pm Pb Y
2 1 1
Direct
0.088 0.088 0.736
0.912 0.912 0.264
0.000 0.000 0.000
0.500 0.500 0.500
```

Properties
D(E_F) ... 4.10 states/eV/f.u.
Energy relative to the elements ... 0.0401 eV per atom
Calculated total energy ... -19.513 eV per cell
Calculated density ... 7.09 Mg/m³

***

# 12
VASP calculation (GGA-PBE) on crystalline Pm2YPb2 at its relaxed geometry.

Structure (POSCAR):
```
Pm2YPb2
1.0
4.542 0.000 0.000
0.000 8.281 0.000
0.000 0.000 8.281
Pb Pm Y
4 4 2
Direct
0.000 0.137 0.363
0.000 0.363 0.863
0.000 0.637 0.137
0.000 0.863 0.637
0.500 0.832 0.332
0.500 0.668 0.832
0.500 0.332 0.168
0.500 0.168 0.668
0.000 0.000 0.000
0.000 0.500 0.500
```

Properties
D(E_F) ... 4.65 states/eV/f.u.
Energy relative to the elements ... -0.5346 eV per atom
Calculated total energy ... -52.110 eV per cell
Calculated density ... 8.46 Mg/m³

***

What did the sixth record say?
VASP calculation (GGA-PBE) on crystalline Pm5Y8Pb at its relaxed geometry.

Structure (POSCAR):
```
Pm5Y8Pb
1.0
7.792 0.000 -3.697
-3.406 7.540 -2.436
-0.980 0.000 8.569
Y Pb Pm
8 1 5
Direct
0.583 0.661 0.244
0.038 0.079 0.540
0.040 0.502 0.962
0.461 0.921 0.960
0.756 0.339 0.417
0.460 0.498 0.539
0.583 0.339 0.922
0.078 0.661 0.417
0.250 0.500 0.750
0.281 0.195 0.085
0.914 0.804 0.719
0.890 0.805 0.086
0.500 0.000 0.500
0.915 0.196 0.110
```

Properties
D(E_F) ... 19.00 states/eV/f.u.
Energy relative to the elements ... 0.1084 eV per atom
Calculated total energy ... -77.656 eV per cell
Calculated density ... 5.73 Mg/m³